SrNbIn2Ge SCAN PBEsol geometry; calculated total energy = -26.40 eV/atom; energy of formation = 1.86 eV/atom; V = 32.31 Å³ per atom; crystal system = tetragonal; symmetry = No. 123
1.0
5.694 0.000 0.000
0.000 5.694 0.000
0.000 0.000 4.983
Sr Nb In Ge
1 1 2 1
Direct
0.000 0.000 0.000
0.000 0.000 0.500
0.000 0.500 0.000
0.500 0.000 0.000
0.500 0.500 0.500